# GaCuSi, optimized geometry, DFT PBE
# Density of states at the Fermi level (states/eV per cell): 1.82
# Raw formation energy (eV per atom): 0.089
# Uncorrected energy (eV per atom): -4.093
# Total magnetic moment (μB per atom): 0.00
data_GaCuSi
_cell_length_a 4.0377
_cell_length_b 2.9648
_cell_length_c 7.6682
_cell_angle_alpha 90.00
_cell_angle_beta 103.72
_cell_angle_gamma 90.00
_symmetry_space_group_name_H-M 'P 1 21/m 1'
_symmetry_Int_Tables_number 11
_symmetry_space_group_name_Hall '-P 2yb'
loop_
_atom_site_label
_atom_site_type_symbol
_atom_site_fract_x
_atom_site_fract_y
_atom_site_fract_z
_atom_site_occupancy
Ga1 Ga 0.1906 0.2500 0.3861 1
Cu1 Cu 0.3808 0.2500 0.7379 1
Si1 Si 0.2258 0.7500 0.9640 1